A geometry-optimized ZrReRh4 structure. Source: Alexandria, functional PBE.

POSCAR file:
```
ZrReRh4
1.0
0.000 3.620 3.620
3.620 0.000 3.620
3.620 3.620 0.000
Zr Re Rh
1 1 4
Direct
0.000 0.000 0.000
0.750 0.750 0.750
0.376 0.376 0.376
0.376 0.376 0.873
0.376 0.873 0.376
0.873 0.376 0.376
```

Properties
total DFT energy (no corrections): -50.6 eV for the cell shown
spin magnetization: 0.00 μB/cell
DOS at the Fermi energy: 9.44 states/eV/f.u.
space-group type: F-43m, No. 216